Entry from Alexandria via LeMat-Bulk: a relaxed ZnIn2Te crystal (PBE).

```
data_ZnIn2Te
_chemical_formula_sum 'Zn2 In4 Te2'
_space_group_name_H-M_alt 'C 1 2/m 1'
_space_group_IT_number 12
_cell_length_a 6.745
_cell_length_b 10.565
_cell_length_c 3.197
_cell_angle_alpha 90.00
_cell_angle_beta 109.68
_cell_angle_gamma 90.00
loop_
_space_group_symop_operation_xyz
'x,y,z'
'-x,-y,-z'
'-x,y,-z'
'x,-y,z'
'x+1/2,y+1/2,z'
'-x+1/2,-y+1/2,-z'
'-x+1/2,y+1/2,-z'
'x+1/2,-y+1/2,z'
loop_
_atom_site_label
_atom_site_type_symbol
_atom_site_fract_x
_atom_site_fract_y
_atom_site_fract_z
Zn1 Zn 0.000 0.000 0.000
In1 In 0.250 0.250 0.500
Te1 Te 0.000 0.500 0.000
```

## Properties
- formation energy without anion corrections (eV per atom) = 0.08
- energy relative to the lowest polymorph listed for this composition (kJ/mol of formula units) = 55
- N(E_F) (states/eV/atom) = 0.21

Entry from Alexandria via LeMat-Bulk: a relaxed ZnIn2Te crystal (PBE).

```
data_ZnIn2Te
_chemical_formula_sum 'Zn3 In6 Te3'
_space_group_name_H-M_alt 'R 3 m'
_space_group_IT_number 160
_space_group_name_Hall 'R 3 -2"'
_cell_length_a 4.1237
_cell_length_b 4.1237
_cell_length_c 22.2428
_cell_angle_alpha 90.00
_cell_angle_beta 90.00
_cell_angle_gamma 120.00
loop_
_atom_site_label
_atom_site_type_symbol
_atom_site_fract_x
_atom_site_fract_y
_atom_site_fract_z
Zn1 Zn 0.0000 0.0000 0.0000
In1 In 0.0000 0.0000 0.2569
In2 In 0.0000 0.0000 0.4931
Te1 Te 0.0000 0.0000 0.7354
```

## Properties
- formation energy without anion corrections (eV per atom) = -0.06
- energy relative to the lowest polymorph listed for this composition (kJ/mol of formula units) = 0
- N(E_F) (states/eV/atom) = 0.46

Entry from Alexandria via LeMat-Bulk: a relaxed ZnInTe3 crystal (PBE).

```
data_ZnInTe3
_chemical_formula_sum 'Zn4 In4 Te12'
_space_group_name_H-M_alt 'C 1 2/m 1'
_space_group_IT_number 12
_cell_length_a 13.705
_cell_length_b 4.311
_cell_length_c 11.346
_cell_angle_alpha 90.00
_cell_angle_beta 93.95
_cell_angle_gamma 90.00
loop_
_space_group_symop_operation_xyz
'x,y,z'
'-x,-y,-z'
'-x,y,-z'
'x,-y,z'
'x+1/2,y+1/2,z'
'-x+1/2,-y+1/2,-z'
'-x+1/2,y+1/2,-z'
'x+1/2,-y+1/2,z'
loop_
_atom_site_label
_atom_site_type_symbol
_atom_site_fract_x
_atom_site_fract_y
_atom_site_fract_z
Zn1 Zn 0.192 0.000 0.120
In1 In 0.032 0.500 0.720
Te1 Te 0.094 0.000 0.567
Te2 Te 0.126 0.500 0.947
Te3 Te 0.174 0.500 0.269
```

## Properties
- formation energy without anion corrections (eV per atom) = -0.24
- energy relative to the lowest polymorph listed for this composition (kJ/mol of formula units) = 0
- N(E_F) (states/eV/atom) = 0.03

Entry from Alexandria via LeMat-Bulk: a relaxed Zn2InTe crystal (PBE).

```
data_Zn2InTe
_chemical_formula_sum 'Zn4 In2 Te2'
_space_group_name_H-M_alt 'C 1 m 1'
_space_group_IT_number 8
_cell_length_a 7.377
_cell_length_b 4.208
_cell_length_c 6.729
_cell_angle_alpha 90.00
_cell_angle_beta 112.25
_cell_angle_gamma 90.00
loop_
_space_group_symop_operation_xyz
'x,y,z'
'x,-y,z'
'x+1/2,y+1/2,z'
'x+1/2,-y+1/2,z'
loop_
_atom_site_label
_atom_site_type_symbol
_atom_site_fract_x
_atom_site_fract_y
_atom_site_fract_z
Zn1 Zn 0.000 0.000 0.000
Zn2 Zn 0.220 0.500 0.179
In1 In 0.251 0.000 0.754
Te1 Te 0.464 0.000 0.420
```

## Properties
- formation energy without anion corrections (eV per atom) = 0.00
- energy relative to the lowest polymorph listed for this composition (kJ/mol of formula units) = 0
- N(E_F) (states/eV/atom) = 0.43

Entry from Alexandria via LeMat-Bulk: a relaxed ZnIn2Te crystal (PBE).

```
data_ZnIn2Te
_chemical_formula_sum 'Zn1 In2 Te1'
_space_group_name_H-M_alt 'P 4/m m m'
_space_group_IT_number 123
_space_group_name_Hall '-P 4 2'
_cell_length_a 5.013
_cell_length_b 5.013
_cell_length_c 4.375
_cell_angle_alpha 90.00
_cell_angle_beta 90.00
_cell_angle_gamma 90.00
loop_
_atom_site_label
_atom_site_type_symbol
_atom_site_fract_x
_atom_site_fract_y
_atom_site_fract_z
Zn1 Zn 0.000 0.000 0.000
In1 In 0.000 0.500 0.500
Te1 Te 0.500 0.500 0.000
```

## Properties
- formation energy without anion corrections (eV per atom) = 0.03
- energy relative to the lowest polymorph listed for this composition (kJ/mol of formula units) = 35
- N(E_F) (states/eV/atom) = 0.30

Entry from Alexandria via LeMat-Bulk: a relaxed Zn2InTe crystal (PBE).

```
data_Zn2InTe
_chemical_formula_sum 'Zn4 In2 Te2'
_space_group_name_H-M_alt 'I m m 2'
_space_group_IT_number 44
_cell_length_a 3.951
_cell_length_b 4.012
_cell_length_c 11.944
_cell_angle_alpha 90.00
_cell_angle_beta 90.00
_cell_angle_gamma 90.00
loop_
_space_group_symop_operation_xyz
'x,y,z'
'-x,-y,z'
'-x,y,z'
'x,-y,z'
'x+1/2,y+1/2,z+1/2'
'-x+1/2,-y+1/2,z+1/2'
'-x+1/2,y+1/2,z+1/2'
'x+1/2,-y+1/2,z+1/2'
loop_
_atom_site_label
_atom_site_type_symbol
_atom_site_fract_x
_atom_site_fract_y
_atom_site_fract_z
Zn1 Zn 0.000 0.000 0.000
Zn2 Zn 0.000 0.500 0.159
In1 In 0.000 0.500 0.722
Te1 Te 0.000 0.000 0.433
```

## Properties
- formation energy without anion corrections (eV per atom) = 0.03
- energy relative to the lowest polymorph listed for this composition (kJ/mol of formula units) = 12
- N(E_F) (states/eV/atom) = 0.28

Entry from Alexandria via LeMat-Bulk: a relaxed ZnIn3Te crystal (PBE).

```
data_ZnIn3Te
_chemical_formula_sum 'Zn1 In3 Te1'
_space_group_name_H-M_alt 'P m -3 m'
_space_group_IT_number 221
_space_group_name_Hall '-P 4 2 3'
_cell_length_a 6.068
_cell_length_b 6.068
_cell_length_c 6.068
_cell_angle_alpha 90.00
_cell_angle_beta 90.00
_cell_angle_gamma 90.00
loop_
_atom_site_label
_atom_site_type_symbol
_atom_site_fract_x
_atom_site_fract_y
_atom_site_fract_z
Zn1 Zn 0.000 0.000 0.000
In1 In 0.000 0.500 0.500
Te1 Te 0.500 0.500 0.500
```

## Properties
- formation energy without anion corrections (eV per atom) = 0.55
- energy relative to the lowest polymorph listed for this composition (kJ/mol of formula units) = 245
- N(E_F) (states/eV/atom) = 0.66

Entry from Alexandria via LeMat-Bulk: a relaxed Zn4InTe crystal (PBE).

```
data_Zn4InTe
_chemical_formula_sum 'Zn16 In4 Te4'
_space_group_name_H-M_alt 'F -4 3 m'
_space_group_IT_number 216
_space_group_name_Hall 'F -4 2 3'
_cell_length_a 7.838
_cell_length_b 7.838
_cell_length_c 7.838
_cell_angle_alpha 90.00
_cell_angle_beta 90.00
_cell_angle_gamma 90.00
loop_
_atom_site_label
_atom_site_type_symbol
_atom_site_fract_x
_atom_site_fract_y
_atom_site_fract_z
Zn1 Zn 0.123 0.123 0.123
In1 In 0.250 0.250 0.750
Te1 Te 0.000 0.000 0.500
```

## Properties
- formation energy without anion corrections (eV per atom) = 0.15
- N(E_F) (states/eV/atom) = 0.22

Entry from Alexandria via LeMat-Bulk: a relaxed Zn2InTe crystal (PBE).

```
data_Zn2InTe
_chemical_formula_sum 'Zn4 In2 Te2'
_space_group_name_H-M_alt 'C 1 2/m 1'
_space_group_IT_number 12
_cell_length_a 7.037
_cell_length_b 4.131
_cell_length_c 7.118
_cell_angle_alpha 90.00
_cell_angle_beta 110.73
_cell_angle_gamma 90.00
loop_
_space_group_symop_operation_xyz
'x,y,z'
'-x,-y,-z'
'-x,y,-z'
'x,-y,z'
'x+1/2,y+1/2,z'
'-x+1/2,-y+1/2,-z'
'-x+1/2,y+1/2,-z'
'x+1/2,-y+1/2,z'
loop_
_atom_site_label
_atom_site_type_symbol
_atom_site_fract_x
_atom_site_fract_y
_atom_site_fract_z
Zn1 Zn 0.248 0.000 0.239
In1 In 0.000 0.000 0.500
Te1 Te 0.000 0.500 0.000
```

## Properties
- formation energy without anion corrections (eV per atom) = 0.00
- energy relative to the lowest polymorph listed for this composition (kJ/mol of formula units) = 1
- N(E_F) (states/eV/atom) = 0.31

Entry from Alexandria via LeMat-Bulk: a relaxed Zn2InTe crystal (PBE).

```
data_Zn2InTe
_chemical_formula_sum 'Zn2 In1 Te1'
_space_group_name_H-M_alt 'P 1 m 1'
_space_group_IT_number 6
_cell_length_a 4.517
_cell_length_b 3.960
_cell_length_c 5.775
_cell_angle_alpha 90.00
_cell_angle_beta 111.41
_cell_angle_gamma 90.00
loop_
_space_group_symop_operation_xyz
'x,y,z'
'x,-y,z'
loop_
_atom_site_label
_atom_site_type_symbol
_atom_site_fract_x
_atom_site_fract_y
_atom_site_fract_z
Zn1 Zn 0.000 0.000 0.000
Zn2 Zn 0.170 0.500 0.775
In1 In 0.463 0.000 0.534
Te1 Te 0.757 0.500 0.229
```

## Properties
- formation energy without anion corrections (eV per atom) = 0.03
- energy relative to the lowest polymorph listed for this composition (kJ/mol of formula units) = 14
- N(E_F) (states/eV/atom) = 0.27

Entry from Alexandria via LeMat-Bulk: a relaxed Zn2InTe crystal (PBE).

```
data_Zn2InTe
_chemical_formula_sum 'Zn4 In2 Te2'
_space_group_name_H-M_alt 'C 1 2/m 1'
_space_group_IT_number 12
_cell_length_a 6.409
_cell_length_b 7.822
_cell_length_c 3.990
_cell_angle_alpha 90.00
_cell_angle_beta 108.39
_cell_angle_gamma 90.00
loop_
_space_group_symop_operation_xyz
'x,y,z'
'-x,-y,-z'
'-x,y,-z'
'x,-y,z'
'x+1/2,y+1/2,z'
'-x+1/2,-y+1/2,-z'
'-x+1/2,y+1/2,-z'
'x+1/2,-y+1/2,z'
loop_
_atom_site_label
_atom_site_type_symbol
_atom_site_fract_x
_atom_site_fract_y
_atom_site_fract_z
Zn1 Zn 0.250 0.250 0.000
In1 In 0.000 0.000 0.500
Te1 Te 0.000 0.500 0.500
```

## Properties
- formation energy without anion corrections (eV per atom) = 0.10
- energy relative to the lowest polymorph listed for this composition (kJ/mol of formula units) = 39
- N(E_F) (states/eV/atom) = 0.36

Entry from Alexandria via LeMat-Bulk: a relaxed ZnIn2Te crystal (PBE).

```
data_ZnIn2Te
_chemical_formula_sum 'Zn2 In4 Te2'
_space_group_name_H-M_alt 'C m m m'
_space_group_IT_number 65
_space_group_name_Hall '-C 2 2'
_cell_length_a 4.085
_cell_length_b 4.991
_cell_length_c 10.141
_cell_angle_alpha 90.00
_cell_angle_beta 90.00
_cell_angle_gamma 90.00
loop_
_atom_site_label
_atom_site_type_symbol
_atom_site_fract_x
_atom_site_fract_y
_atom_site_fract_z
Zn1 Zn 0.000 0.000 0.000
In1 In 0.000 0.500 0.214
Te1 Te 0.000 0.000 0.500
```

## Properties
- formation energy without anion corrections (eV per atom) = 0.10
- energy relative to the lowest polymorph listed for this composition (kJ/mol of formula units) = 63
- N(E_F) (states/eV/atom) = 0.54

Entry from Alexandria via LeMat-Bulk: a relaxed Zn2In2Te crystal (PBE).

```
data_Zn2In2Te
_chemical_formula_sum 'Zn4 In4 Te2'
_space_group_name_H-M_alt 'I 4/m m m'
_space_group_IT_number 139
_space_group_name_Hall '-I 4 2'
_cell_length_a 3.870
_cell_length_b 3.870
_cell_length_c 16.735
_cell_angle_alpha 90.00
_cell_angle_beta 90.00
_cell_angle_gamma 90.00
loop_
_atom_site_label
_atom_site_type_symbol
_atom_site_fract_x
_atom_site_fract_y
_atom_site_fract_z
Zn1 Zn 0.000 0.500 0.250
In1 In 0.000 0.000 0.105
Te1 Te 0.000 0.000 0.500
```

## Properties
- formation energy without anion corrections (eV per atom) = 0.05
- energy relative to the lowest polymorph listed for this composition (kJ/mol of formula units) = 9
- N(E_F) (states/eV/atom) = 0.45